[1]
Entry from Alexandria via LeMat-Bulk: YTa3Br at its PBEsol-relaxed geometry (meta-GGA SCAN).

Cell: 4.7598 4.7598 4.7598 Å, 90.00 90.00 90.00°
Last column: nearest neighbours and their distance in Å.
Positions (direct):
Y1 0.0000 0.0000 0.0000  12 Ta 3.37
Ta1 0.0000 0.5000 0.5000  2 Br 2.38
Ta2 0.5000 0.0000 0.5000  2 Br 2.38
Ta3 0.5000 0.5000 0.0000  2 Br 2.38
Br1 0.5000 0.5000 0.5000  6 Ta 2.38

Properties
The value obtained for the raw total energy is -1.775 hartree per atom. The calculation puts the total magnetic moment at 0.00 Bohr magnetons per cell. The space group is Pm-3m, No. 221. Its calculated volume is 21.57 Å³/atom. The density of states at the Fermi level is 5.3 states/eV/f.u. The value obtained for the formation energy from raw total energies is 1101 meV/atom.

***

[2]
Entry from Alexandria via LeMat-Bulk: Be3ReRu at its PBEsol-relaxed geometry (meta-GGA SCAN).

Cell: 3.9424 3.9424 3.9424 Å, 90.00 90.00 90.00°
Last column: nearest neighbours and their distance in Å.
Positions (direct):
Be1 0.0000 0.0000 0.5000  2 Ru 1.97
Be2 0.0000 0.5000 0.0000  2 Ru 1.97
Be3 0.5000 0.0000 0.0000  2 Ru 1.97
Re1 0.5000 0.5000 0.5000  12 Be 2.79
Ru1 0.0000 0.0000 0.0000  6 Be 1.97

Properties
The value obtained for the raw total energy is -0.840 hartree per atom. The calculation puts the total magnetic moment at 1.38 Bohr magnetons per cell. The space group is Pm-3m, No. 221. Its calculated volume is 12.26 Å³/atom. The density of states at the Fermi level is 2.8 states/eV/f.u.

***

[3]
Entry from Alexandria via LeMat-Bulk: BaCe2S4 at its PBEsol-relaxed geometry (meta-GGA SCAN).

Cell: 7.5230 7.5230 7.5230 Å, 109.45 109.45 109.52°
Last column: nearest neighbours and their distance in Å.
Positions (direct):
Ba1 0.0000 0.0000 0.0000  8 S 3.04-3.16
Ba2 0.7500 0.2500 0.5000  8 S 3.04-3.16
Ce1 0.2501 0.6250 0.1251  8 S 2.83-3.13
Ce2 0.3750 0.5001 0.6251  8 S 2.83-3.13
Ce3 0.4999 0.1250 0.8749  8 S 2.83-3.13
Ce4 0.8750 0.7499 0.3749  8 S 2.83-3.13
S1 0.1436 0.7292 0.7457  4 Ce 2.83-3.13, 2 Ba 3.04-3.16, 1 S 3.14
S2 0.1479 0.2335 0.7543  4 Ce 2.83-3.13, 2 Ba 3.04-3.16, 1 S 3.14
S3 0.2708 0.0165 0.4144  4 Ce 2.83-3.13, 2 Ba 3.04-3.16, 1 S 3.14
S4 0.4792 0.3936 0.2457  4 Ce 2.83-3.13, 2 Ba 3.04-3.16, 1 S 3.14
S5 0.6021 0.8564 0.5856  4 Ce 2.83-3.13, 2 Ba 3.04-3.16, 1 S 3.14
S6 0.6064 0.8521 0.0856  4 Ce 2.83-3.13, 2 Ba 3.04-3.16, 1 S 3.14
S7 0.7665 0.5208 0.9144  4 Ce 2.83-3.13, 2 Ba 3.04-3.16, 1 S 3.14
S8 0.9835 0.3979 0.2543  4 Ce 2.83-3.13, 2 Ba 3.04-3.16, 1 S 3.14

Properties
The value obtained for the raw total energy is -0.962 hartree per atom. The calculation puts the total magnetic moment at 4.00 Bohr magnetons per cell. The space group is I-42d, No. 122. Its calculated volume is 23.41 Å³/atom. The density of states at the Fermi level is 0.1 states/eV/f.u. The value obtained for the formation energy from raw total energies is -2301 meV/atom.

***

[4]
Entry from Alexandria via LeMat-Bulk: AlSi2Tc at its PBEsol-relaxed geometry (meta-GGA SCAN).

Cell: 4.6270 4.6270 4.2307 Å, 95.88 95.88 37.49°
Last column: nearest neighbours and their distance in Å.
Positions (direct):
Al1 0.0000 0.0000 0.0000  7 Si 2.49-2.74, 3 Tc 2.61-2.77
Si1 0.2499 0.2499 0.7681  1 Si 2.43, 1 Al 2.49, 4 Tc 2.57-2.61
Si2 0.4758 0.4758 0.4822  1 Si 2.43, 4 Al 2.55-2.64, 3 Tc 2.57-2.62
Tc1 0.7471 0.7471 0.2734  7 Si 2.57-2.62, 3 Al 2.61-2.77

Properties
The value obtained for the raw total energy is -0.582 hartree per atom. The calculation puts the total magnetic moment at 0.00 Bohr magnetons per cell. The space group is Cm, No. 8. Its calculated volume is 13.70 Å³/atom. The density of states at the Fermi level is 1.8 states/eV/f.u. The value obtained for the formation energy from raw total energies is -120 meV/atom.

***

[5]
Entry from Alexandria via LeMat-Bulk: SrCaAsSe2 at its PBEsol-relaxed geometry (meta-GGA SCAN).

Cell: 5.3620 5.3620 5.2019 Å, 90.00 90.00 90.00°
Last column: nearest neighbours and their distance in Å.
Positions (direct):
Sr1 0.0000 0.0000 0.0000  8 Se 3.74, 4 As 3.79
Ca1 0.5000 0.5000 0.5000  2 As 2.60, 4 Se 2.68
As1 0.5000 0.5000 0.0000  2 Ca 2.60
Se1 0.0000 0.5000 0.5000  2 Ca 2.68
Se2 0.5000 0.0000 0.5000  2 Ca 2.68

Properties
The value obtained for the raw total energy is -0.707 hartree per atom. The calculation puts the total magnetic moment at 0.00 Bohr magnetons per cell. The space group is P4/mmm, No. 123. Its calculated volume is 29.91 Å³/atom. The density of states at the Fermi level is 3.6 states/eV/f.u. The value obtained for the formation energy from raw total energies is -768 meV/atom.

***

[6]
Entry from Alexandria via LeMat-Bulk: KLi3C at its PBEsol-relaxed geometry (meta-GGA SCAN).

Cell: 4.4265 4.4265 4.4265 Å, 90.00 90.00 90.00°
Last column: nearest neighbours and their distance in Å.
Positions (direct):
K1 0.0000 0.0000 0.0000  6 Li 2.21
Li1 0.0000 0.0000 0.5000  2 K 2.21
Li2 0.0000 0.5000 0.0000  2 K 2.21
Li3 0.5000 0.0000 0.0000  2 K 2.21
C1 0.5000 0.5000 0.5000  12 Li 3.13

Properties
The value obtained for the raw total energy is -0.116 hartree per atom. The calculation puts the total magnetic moment at 0.00 Bohr magnetons per cell. The space group is Pm-3m, No. 221. Its calculated volume is 17.35 Å³/atom. The density of states at the Fermi level is 0.5 states/eV/f.u.

***

Which of these has the highest raw total energy? KLi3C

***

What is the calculated volume in the fourth record? 13.70 Å³/atom